The following is a DFT calculation (PBE) of a geometry-optimized TaBe3Au structure.

a b c (Å): 4.191 4.191 4.191
angles (deg): 90.00 90.00 90.00
Space group Pm-3m (No. 221)
Inequivalent atoms, fractional coordinates:
1 Ta 0.000 0.000 0.000
2 Be 0.000 0.500 0.500
3 Au 0.500 0.500 0.500

Results
- DOS at the Fermi energy: 2.50 states/eV per cell
- DFT formation energy: 76 kJ/mol of atoms

***

The following is a DFT calculation (PBE) of a geometry-optimized TaBeAu structure.

a b c (Å): 3.588 3.235 15.169
angles (deg): 90.00 90.00 90.00
Space group Amm2 (No. 38)
Inequivalent atoms, fractional coordinates:
1 Ta 0.000 0.000 0.000
2 Ta 0.500 0.000 0.392
3 Be 0.000 0.000 0.834
4 Be 0.500 0.000 0.753
5 Au 0.000 0.000 0.215
6 Au 0.500 0.000 0.598

Results
- DOS at the Fermi energy: 5.14 states/eV per cell
- DFT formation energy: -13 kJ/mol of atoms

***

The following is a DFT calculation (PBE) of a geometry-optimized TaBeAu structure.

a b c (Å): 5.457 3.556 9.213
angles (deg): 90.00 90.00 90.00
Space group Pnma (No. 62)
Inequivalent atoms, fractional coordinates:
1 Ta 0.196 0.250 0.040
2 Be 0.238 0.750 0.843
3 Au 0.004 0.250 0.719

Results
- DOS at the Fermi energy: 5.74 states/eV per cell
- DFT formation energy: -3 kJ/mol of atoms

***

Number 1: offset from the most stable computed form 0.000 eV per atom. Number 2: offset from the most stable computed form 0.106 eV per atom. Number 3: offset from the most stable computed form 0.209 eV per atom.